Compound: Pr5HoEr4
Source: the Alexandria database
Functional: GGA-PBE
Structure: relaxed

Cell and atoms, written as POSCAR:
```
Pr5HoEr4
1.0
9.146 -1.799 0.000
9.146 1.799 0.000
-1.156 0.000 10.482
Pr Ho Er
5 1 4
direct
0.000 0.000 0.000
0.310 0.310 0.899
0.359 0.359 0.273
0.641 0.641 0.727
0.690 0.690 0.101
0.000 0.000 0.500
0.182 0.182 0.416
0.454 0.454 0.734
0.546 0.546 0.266
0.818 0.818 0.584
```

- DFT formation energy (eV/atom) = 0.139
- energy relative to the lowest polymorph listed for this composition (eV per formula unit) = 1.18